PBE PmSm2Pu3S6, relaxed; space group = C2/m; crystal system = monoclinic; ΔE_f (raw) = -1916 meV/atom
1.0
8.684 -1.992 0.000
8.684 1.992 0.000
-1.762 0.000 7.765
Pm Sm Pu S
1 2 3 6
Direct
0.000 0.000 0.000
0.334 0.334 0.664
0.666 0.666 0.336
0.000 0.000 0.500
0.334 0.334 0.166
0.666 0.666 0.834
0.166 0.166 0.587
0.169 0.169 0.081
0.499 0.499 0.255
0.501 0.501 0.745
0.831 0.831 0.919
0.834 0.834 0.413


PBE K2FeTe, relaxed; space group = Imm2; crystal system = orthorhombic; ΔE_f (raw) = 43 meV/atom
1.0
-2.360 2.998 5.072
2.360 -2.998 5.072
2.360 2.998 -5.072
K Fe Te
2 1 1
Direct
0.000 0.000 0.000
0.690 0.190 0.500
0.373 0.373 0.000
0.303 0.803 0.500


PBE MgZnPd6, relaxed; space group = P4/mmm; crystal system = tetragonal; formation energy from the elements = -388 meV/atom
1.0
5.579 0.000 0.000
0.000 5.579 0.000
0.000 0.000 3.931
Mg Zn Pd
1 1 6
Direct
0.000 0.000 0.000
0.500 0.500 0.000
0.000 0.500 0.000
0.254 0.254 0.500
0.254 0.746 0.500
0.500 0.000 0.000
0.746 0.254 0.500
0.746 0.746 0.500


PBE Pm4Tm2Tl3H2, relaxed; space group = I4/mmm; crystal system = tetragonal; raw total energy = -4.043 eV/atom
1.0
-2.394 2.394 12.526
2.394 -2.394 12.526
2.394 2.394 -12.526
Pm Tm Tl H
4 2 3 2
Direct
0.087 0.587 0.500
0.413 0.913 0.500
0.587 0.087 0.500
0.913 0.413 0.500
0.200 0.200 0.000
0.800 0.800 0.000
0.322 0.322 0.000
0.500 0.500 0.000
0.678 0.678 0.000
0.109 0.109 0.000
0.891 0.891 0.000


Number 1: size of the total moment 5.6 μB/cell. Number 2: size of the total moment 2.0 μB/cell. Number 3: size of the total moment 0.0 μB/cell. Number 4: size of the total moment 0.0 μB/cell.